[1]
Here is a geometry-optimized YErHg structure from Alexandria. Energies are from PBE-GGA.

## Properties
* excess energy over the best structure of this formula in the dataset: 0.092 eV per atom
* E_form: -0.2935 eV/atom
* total energy: -12.21 eV/f.u.

```
6
Lattice="4.752 0.000 0.000 0.000 4.752 0.000 0.000 0.000 7.589" Properties=species:S:1:pos:R:3 pbc="T T T"
Y 1.188 1.188 1.053
Y 3.564 3.564 6.536
Er 1.188 3.564 3.794
Er 3.564 1.188 3.794
Hg 1.188 1.188 5.716
Hg 3.564 3.564 1.872
```

=====

[2]
Here is a geometry-optimized Y5HgPd2 structure from Alexandria. Energies are from PBE-GGA.

## Properties
* E_form: -0.5927 eV/atom
* total energy: -47.75 eV/f.u.

```
16
Lattice="-3.937 3.937 6.675 3.937 -3.937 6.675 3.937 3.937 -6.675" Properties=species:S:1:pos:R:3 pbc="T T T"
Y 0.000 0.000 0.000
Y 5.190 1.253 -1.895
Y 1.253 2.685 -1.895
Y 5.190 1.253 1.895
Y 1.253 2.685 1.895
Y 0.000 0.000 6.675
Y 2.685 1.253 4.780
Y -1.253 2.685 4.780
Y 2.685 1.253 8.569
Y -1.253 2.685 8.569
Hg 0.000 0.000 3.337
Hg 0.000 0.000 10.012
Pd 2.884 1.053 0.000
Pd 2.884 -1.053 6.675
Pd 1.053 4.990 0.000
Pd 1.053 2.884 6.675
```

=====

[3]
Here is a geometry-optimized CaTb5Pm2 structure from Alexandria. Energies are from PBE-GGA.

## Properties
* E_form: 0.0546 eV/atom
* total energy: -34.22 eV/f.u.

```
8
Lattice="-1.816 5.650 6.612 1.816 -5.650 6.612 1.816 5.650 -6.612" Properties=species:S:1:pos:R:3 pbc="T T T"
Ca 0.000 0.000 0.000
Tb 1.816 3.106 -1.777
Tb 1.816 3.106 1.777
Tb 0.000 5.650 0.000
Tb 0.000 2.544 4.835
Tb 0.000 2.544 8.389
Pm 1.816 0.000 3.196
Pm 0.000 5.650 3.417
```

=====

[4]
Here is a geometry-optimized Pm2Si12Pt7 structure from Alexandria. Energies are from PBE-GGA.

## Properties
* total energy: -129.55 eV/f.u.
* formation energy without anion corrections: -58.3 kJ/mol of atoms

```
21
Lattice="10.038 0.000 0.000 -5.019 8.693 0.000 0.000 0.000 4.013" Properties=species:S:1:pos:R:3 pbc="T T T"
Pm 0.000 5.796 0.908
Pm 5.019 2.898 3.105
Si -2.485 5.448 3.073
Si -3.083 7.443 0.902
Si 0.115 2.302 0.902
Si 2.052 1.052 3.111
Si 1.543 3.817 3.073
Si 4.078 0.572 0.939
Si 0.942 8.121 3.073
Si 3.476 4.876 0.939
Si 2.968 7.642 0.902
Si 4.904 6.391 3.111
Si 8.102 1.251 3.111
Si 7.504 3.245 0.939
Pt 0.000 0.000 0.000
Pt -0.967 3.500 2.846
Pt -1.505 7.781 2.846
Pt 2.548 2.587 1.167
Pt 2.472 6.107 2.846
Pt 6.524 0.913 1.167
Pt 5.986 5.194 1.167
```

=====

[5]
Here is a geometry-optimized Ba4CuSb3O12 structure from Alexandria. Energies are from PBE-GGA.

## Properties
* total energy: -123.18 eV/f.u.
* formation energy without anion corrections: -190.7 kJ/mol of atoms

```
20
Lattice="-4.179 4.179 4.179 4.179 -4.179 4.179 4.179 4.179 -4.179" Properties=species:S:1:pos:R:3 pbc="T T T"
Ba 2.090 2.090 -2.090
Ba 2.090 -2.090 2.090
Ba -2.090 2.090 2.090
Ba 2.090 2.090 2.090
Cu 0.000 0.000 0.000
Sb 4.179 0.000 0.000
Sb 0.000 4.179 0.000
Sb 0.000 0.000 4.179
O 2.211 0.000 0.000
O 6.147 0.000 0.000
O 4.179 2.090 0.000
O 4.179 0.000 2.090
O 0.000 2.211 0.000
O 0.000 0.000 2.211
O 2.090 4.179 0.000
O 2.090 0.000 4.179
O 0.000 6.147 0.000
O 0.000 0.000 6.147
O 0.000 4.179 2.090
O 0.000 2.090 4.179
```

=====

[6]
Here is a geometry-optimized LaAl4Ni2 structure from Alexandria. Energies are from PBE-GGA.

## Properties
* excess energy over the best structure of this formula in the dataset: 0.000 eV per atom
* E_form: -0.5977 eV/atom
* total energy: -35.64 eV/f.u.

```
28
Lattice="16.963 0.000 0.000 0.000 4.089 0.000 0.000 0.000 7.015" Properties=species:S:1:pos:R:3 pbc="T T T"
La 2.005 1.022 0.137
La 6.477 3.067 3.645
La 10.486 1.022 3.370
La 14.958 3.067 6.878
Al 0.638 3.067 5.027
Al 1.681 1.022 3.546
Al 3.228 3.067 2.436
Al 3.463 3.067 5.114
Al 5.018 1.022 1.606
Al 5.253 1.022 5.943
Al 6.800 3.067 0.038
Al 7.844 1.022 1.520
Al 9.119 3.067 5.496
Al 10.162 1.022 6.977
Al 11.709 3.067 1.072
Al 11.945 3.067 5.409
Al 13.499 1.022 1.901
Al 13.735 1.022 4.580
Al 15.282 3.067 3.469
Al 16.325 1.022 1.988
Ni 0.594 3.067 2.506
Ni 4.025 1.022 3.812
Ni 4.457 3.067 0.305
Ni 7.888 1.022 6.013
Ni 9.075 3.067 1.002
Ni 12.506 1.022 6.711
Ni 12.938 3.067 3.203
Ni 16.369 1.022 4.509
```

=====

[7]
Here is a geometry-optimized Hf2Sc2Pb2C structure from Alexandria. Energies are from PBE-GGA.

## Properties
* E_form: -0.4853 eV/atom
* total energy: -52.61 eV/f.u.

```
7
Lattice="-2.241 2.241 7.642 2.241 -2.241 7.642 2.241 2.241 -7.642" Properties=species:S:1:pos:R:3 pbc="T T T"
Hf 2.241 0.000 0.000
Hf 0.000 2.241 0.000
Sc 0.000 0.000 2.307
Sc 0.000 0.000 12.976
Pb 0.000 0.000 5.383
Pb 0.000 0.000 9.900
C 0.000 0.000 0.000
```

=====

[8]
Here is a geometry-optimized Pm3DyCo8 structure from Alexandria. Energies are from PBE-GGA.

## Properties
* E_form: -0.0990 eV/atom
* total energy: -76.89 eV/f.u.

```
12
Lattice="2.565 1.481 8.384 -2.565 1.481 8.384 0.000 -2.962 8.384" Properties=species:S:1:pos:R:3 pbc="T T T"
Pm 0.000 0.000 0.000
Pm 0.000 0.000 3.147
Pm 0.000 0.000 15.723
Dy 0.000 0.000 12.584
Co 0.000 -1.473 5.741
Co -1.276 0.737 5.741
Co -1.272 -0.734 9.987
Co 0.000 0.000 7.861
Co 1.276 0.737 5.741
Co 1.272 -0.734 9.987
Co 0.000 1.469 9.987
Co 0.000 0.000 20.448
```

=====

[9]
Here is a geometry-optimized MnSbMo3 structure from Alexandria. Energies are from PBE-GGA.

## Properties
* total energy: -33.22 eV/f.u.
* formation energy without anion corrections: 242.5 kJ/mol of atoms

```
5
Lattice="4.851 0.000 0.000 0.000 4.851 0.000 0.000 0.000 4.851" Properties=species:S:1:pos:R:3 pbc="T T T"
Mn 0.000 0.000 0.000
Sb 2.425 2.425 2.425
Mo 0.000 2.425 2.425
Mo 2.425 0.000 2.425
Mo 2.425 2.425 0.000
```

=====

[10]
Here is a geometry-optimized Ac4Bi5Pb structure from Alexandria. Energies are from PBE-GGA.

## Properties
* E_form: -0.7437 eV/atom
* total energy: -46.98 eV/f.u.

```
10
Lattice="-2.419 2.419 17.312 2.419 -2.419 17.312 2.419 2.419 -17.312" Properties=species:S:1:pos:R:3 pbc="T T T"
Ac 0.000 0.000 3.426
Ac 0.000 0.000 10.391
Ac 0.000 0.000 24.234
Ac 0.000 0.000 31.199
Bi 0.000 0.000 0.000
Bi 0.000 0.000 6.931
Bi 0.000 0.000 13.834
Bi 0.000 0.000 20.790
Bi 0.000 0.000 27.694
Pb 0.000 0.000 17.312
```